# PBE-GGA Tl2BAuF6, optimized geometry
data_Tl2BAuF6
_chemical_formula_sum 'Tl2 B1 Au1 F6'
_space_group_name_H-M_alt 'P 1'
_space_group_IT_number 1
_cell_length_a 5.714
_cell_length_b 5.895
_cell_length_c 6.534
_cell_angle_alpha 116.63
_cell_angle_beta 96.56
_cell_angle_gamma 110.75
loop_
_space_group_symop_operation_xyz
'x,y,z'
loop_
_atom_site_label
_atom_site_fract_x
_atom_site_fract_y
_atom_site_fract_z
_atom_site_occupancy
Tl1 0.244 0.002 0.247 1
Tl2 0.756 0.998 0.753 1
B1 0.500 0.500 0.000 1
Au1 0.000 0.500 0.500 1
F1 0.270 0.430 0.094 1
F2 0.296 0.677 0.809 1
F3 0.360 0.207 0.778 1
F4 0.640 0.793 0.222 1
F5 0.704 0.323 0.191 1
F6 0.730 0.570 0.906 1
# Raw formation energy in eV per atom: -1.7339
# Symmetry: P-1 (2)
# Total energy in eV per formula unit: -43.3
# Total magnetic moment in μB per formula unit: 0.00
# V in Å³/cell: 173.9
# Crystal system: triclinic